Cu2NiOs | PBEsol | optimized geometry

a = 2.603 Å, b = 2.603 Å, c = 8.340 Å
α = 81.02°, β = 81.02°, γ = 60.00°
Positions (direct):
Cu1 0.003 0.003 0.992
Cu2 0.751 0.751 0.747
Os1 0.247 0.247 0.258
Ni1 0.499 0.499 0.504

Calculated values
Space group: No. 160
Final energy in eV/cell: -26.40
Crystal system: trigonal

---

MgFeSb2Se | PBEsol | optimized geometry

a = 4.775 Å, b = 5.361 Å, c = 5.361 Å
α = 90.00°, β = 90.00°, γ = 90.00°
Last column: magnetic moment on the atom in μB.
Positions (direct):
Sb1 0.000 0.500 0.000  -0.03
Sb2 0.000 0.000 0.500  -0.03
Fe1 0.500 0.500 0.500  3.26
Se1 0.000 0.000 0.000  -0.03
Mg1 0.500 0.000 0.000  -0.01

Calculated values
Space group: No. 123
ΔE_f (raw) in eV/atom: 0.88
Crystal system: tetragonal

---

NiCl | PBEsol | optimized geometry

a = 3.192 Å, b = 3.192 Å, c = 6.167 Å
α = 90.00°, β = 90.00°, γ = 90.00°
Last column: magnetic moment on the atom in μB.
Positions (direct):
Cl1 0.500 0.000 0.731  0.13
Ni1 0.000 0.500 0.908  0.88
Cl2 0.000 0.500 0.269  0.13
Ni2 0.500 0.000 0.092  0.88

Calculated values
Space group: No. 129
ΔE_f (raw) in eV/atom: -0.04
Crystal system: tetragonal

---

CdTc2Ru | PBEsol | optimized geometry

a = 3.871 Å, b = 3.871 Å, c = 4.803 Å
α = 113.76°, β = 113.76°, γ = 90.00°
Positions (direct):
Cd1 0.500 0.500 0.000
Tc1 0.000 0.000 0.000
Tc2 0.750 0.250 0.500
Ru1 0.250 0.750 0.500

Calculated values
Space group: No. 119
Final energy in eV/cell: -32.00
Crystal system: tetragonal

---

NdFeSi | PBEsol | optimized geometry

a = 4.011 Å, b = 4.011 Å, c = 6.830 Å
α = 90.00°, β = 90.00°, γ = 90.00°
Positions (direct):
Fe1 0.500 0.500 0.000
Nd1 0.000 0.500 0.317
Si1 0.500 0.000 0.164
Nd2 0.500 0.000 0.683
Si2 0.000 0.500 0.836
Fe2 0.000 0.000 0.000

Calculated values
Space group: No. 129
ΔE_f (raw) in eV/atom: -0.63
Crystal system: tetragonal

---

TlGe3Te | PBEsol | optimized geometry

a = 5.407 Å, b = 5.407 Å, c = 5.407 Å
α = 90.00°, β = 90.00°, γ = 90.00°
Positions (direct):
Tl1 0.500 0.500 0.500
Te1 0.000 0.000 0.000
Ge1 0.500 0.000 0.000
Ge2 0.000 0.000 0.500
Ge3 0.000 0.500 0.000

Calculated values
Space group: No. 221
ΔE_f (raw) in eV/atom: 0.84
Crystal system: cubic

---

MnWO4 | PBEsol | optimized geometry

a = 3.833 Å, b = 3.833 Å, c = 5.784 Å
α = 109.35°, β = 109.35°, γ = 90.00°
Last column: magnetic moment on the atom in μB.
Positions (direct):
O1 0.017 0.517 0.034  0.04
W1 0.500 0.500 0.000  0.17
O2 0.483 0.983 0.966  0.04
Mn1 0.250 0.750 0.500  4.17
O3 0.312 0.312 0.623  0.03
O4 0.688 0.688 0.377  0.03

Calculated values
Space group: No. 119
ΔE_f (raw) in eV/atom: -1.84
Crystal system: tetragonal

---

KRuBr | PBEsol | optimized geometry

a = 4.014 Å, b = 4.014 Å, c = 5.429 Å
α = 90.00°, β = 90.00°, γ = 120.00°
Positions (direct):
Ru1 0.333 0.667 0.213
K1 0.667 0.333 0.683
Br1 0.000 0.000 0.105

Calculated values
Space group: No. 156
ΔE_f (raw) in eV/atom: 0.45
Crystal system: trigonal